(1)
MgTi2PdN: optimized geometry, PBE.

Output
ΔE to the lowest computed polymorph (eV per formula unit): 0.00
E (eV/atom): -6.98
N(E_F) (states/eV/f.u.): 4.59
Formation energy from raw total energies (eV/atom): -0.796

Cell lengths 4.0852, 4.0852, 4.2746 Å; angles 90.00, 90.00, 90.00 degrees
With the nearest neighbours (Å) after each atom.
Fractional positions:
Mg 0.0000 0.0000 0.0000  2 N 2.14
Ti 0.0000 0.5000 0.5000  2 N 2.04
Ti 0.5000 0.0000 0.5000  2 N 2.04
Pd 0.5000 0.5000 0.0000  4 Mg 2.89, 8 Ti 2.96
N 0.0000 0.0000 0.5000  4 Ti 2.04, 2 Mg 2.14

(2)
MgTlPd2N: optimized geometry, PBE.

Output
E (eV/atom): -3.08
N(E_F) (states/eV/f.u.): 2.27
Formation energy from raw total energies (eV/atom): 1.450

Cell lengths 4.7359, 4.7359, 5.6882 Å; angles 90.00, 90.00, 90.00 degrees
With the nearest neighbours (Å) after each atom.
Fractional positions:
Mg 0.0000 0.0000 0.0000  4 Pd 2.37
Tl 0.0000 0.0000 0.5000  2 Mg 2.84
Pd 0.0000 0.5000 0.0000  2 Mg 2.37
Pd 0.5000 0.0000 0.0000  2 Mg 2.37
N 0.5000 0.5000 0.5000  4 Tl 3.35, 8 Pd 3.70

(3)
MgZn2PdN: optimized geometry, PBE.

Output
E (eV/atom): -2.67
N(E_F) (states/eV/f.u.): 6.12
Formation energy from raw total energies (eV/atom): 0.863

Cell lengths 4.9587, 4.9587, 3.6731 Å; angles 90.00, 90.00, 90.00 degrees
With the nearest neighbours (Å) after each atom.
Fractional positions:
Mg 0.0000 0.0000 0.0000  2 N 1.84
Zn 0.0000 0.5000 0.0000  2 Mg 2.48
Zn 0.5000 0.0000 0.0000  2 Mg 2.48
Pd 0.5000 0.5000 0.5000  8 Zn 3.09
N 0.0000 0.0000 0.5000  2 Mg 1.84

(4)
Pm2MgN: optimized geometry, PBE.

Output
ΔE to the lowest computed polymorph (eV per formula unit): 0.22
E (eV/atom): -5.55
N(E_F) (states/eV/f.u.): 3.96
Formation energy from raw total energies (eV/atom): -0.692

Cell lengths 3.5962, 3.5962, 25.9062 Å; angles 90.00, 90.00, 120.00 degrees
With the nearest neighbours (Å) after each atom.
Fractional positions:
Pm 0.0000 0.0000 0.2200  3 N 2.49
Pm 0.0000 0.0000 0.7800  3 N 2.49
Pm 0.3333 0.6667 0.4466  3 N 2.49
Pm 0.3333 0.6667 0.8867  3 N 2.49
Pm 0.6667 0.3333 0.1133  3 N 2.49
Pm 0.6667 0.3333 0.5534  3 N 2.49
Mg 0.0000 0.0000 0.0000  6 Pm 3.60, 6 Mg 3.60
Mg 0.3333 0.6667 0.6667  6 Pm 3.60, 6 Mg 3.60
Mg 0.6667 0.3333 0.3333  6 Pm 3.60, 6 Mg 3.60
N 0.0000 0.0000 0.5000  6 Pm 2.49
N 0.3333 0.6667 0.1667  6 Pm 2.49
N 0.6667 0.3333 0.8333  6 Pm 2.49

(5)
PmMgN: optimized geometry, PBE.

Output
E (eV/atom): -5.25
N(E_F) (states/eV/f.u.): 0.88
Formation energy from raw total energies (eV/atom): -0.365

Cell lengths 3.8642, 13.0000, 5.3104 Å; angles 90.00, 90.00, 90.00 degrees
With the nearest neighbours (Å) after each atom.
Fractional positions:
Pm 0.0000 0.2024 0.2500  2 N 2.31
Pm 0.0000 0.7976 0.7500  2 N 2.31
Pm 0.5000 0.2976 0.7500  2 N 2.31
Pm 0.5000 0.7024 0.2500  2 N 2.31
Mg 0.0000 0.5000 0.0000  2 Mg 2.66
Mg 0.0000 0.5000 0.5000  2 Mg 2.66
Mg 0.5000 0.0000 0.0000  2 Mg 2.66
Mg 0.5000 0.0000 0.5000  2 Mg 2.66
N 0.0000 0.2008 0.7500  2 Pm 2.31
N 0.0000 0.7992 0.2500  2 Pm 2.31
N 0.5000 0.2992 0.2500  2 Pm 2.31
N 0.5000 0.7008 0.7500  2 Pm 2.31

(6)
Pm2MgN: optimized geometry, PBE.

Output
ΔE to the lowest computed polymorph (eV per formula unit): 0.00
E (eV/atom): -5.60
N(E_F) (states/eV/f.u.): 2.54
Formation energy from raw total energies (eV/atom): -0.748

Cell lengths 3.5379, 20.3795, 5.1696 Å; angles 90.00, 90.00, 90.00 degrees
With the nearest neighbours (Å) after each atom.
Fractional positions:
Pm 0.0000 0.1185 0.2500  2 N 2.46
Pm 0.0000 0.2883 0.2500  4 N 2.49-2.59
Pm 0.0000 0.7117 0.7500  4 N 2.49-2.59
Pm 0.0000 0.8815 0.7500  2 N 2.46
Pm 0.5000 0.2117 0.7500  4 N 2.49-2.59
Pm 0.5000 0.3815 0.7500  2 N 2.46
Pm 0.5000 0.6185 0.2500  2 N 2.46
Pm 0.5000 0.7883 0.2500  4 N 2.49-2.59
Mg 0.0000 0.4597 0.2500  2 Mg 3.06
Mg 0.0000 0.5403 0.7500  2 Mg 3.06
Mg 0.5000 0.0403 0.7500  2 Mg 3.06
Mg 0.5000 0.9597 0.2500  2 Mg 3.06
N 0.0000 0.2978 0.7500  6 Pm 2.46-2.59
N 0.0000 0.7022 0.2500  6 Pm 2.46-2.59
N 0.5000 0.2022 0.2500  6 Pm 2.46-2.59
N 0.5000 0.7978 0.7500  6 Pm 2.46-2.59

(7)
Pm6Mg3N: optimized geometry, PBE.

Output
E (eV/atom): -4.41
N(E_F) (states/eV/f.u.): 12.46
Formation energy from raw total energies (eV/atom): -0.247

Cell lengths 8.3980, 8.3980, 8.3980 Å; angles 79.06, 79.06, 79.06 degrees
With the nearest neighbours (Å) after each atom.
Fractional positions:
Pm 0.1323 0.8068 0.8068  1 N 2.48
Pm 0.1932 0.1932 0.8677  1 N 2.48
Pm 0.1932 0.8677 0.1932  1 N 2.48
Pm 0.2015 0.5225 0.5225  1 N 2.45
Pm 0.4775 0.4775 0.7985  1 N 2.45
Pm 0.4775 0.7985 0.4775  1 N 2.45
Pm 0.5225 0.2015 0.5225  1 N 2.45
Pm 0.5225 0.5225 0.2015  1 N 2.45
Pm 0.7985 0.4775 0.4775  1 N 2.45
Pm 0.8068 0.1323 0.8068  1 N 2.48
Pm 0.8068 0.8068 0.1323  1 N 2.48
Pm 0.8677 0.1932 0.1932  1 N 2.48
Mg 0.1416 0.1416 0.4688  9 Pm 3.46-3.63, 3 Mg 3.50-3.57
Mg 0.1416 0.4688 0.1416  9 Pm 3.46-3.63, 3 Mg 3.50-3.57
Mg 0.4688 0.1416 0.1416  9 Pm 3.46-3.63, 3 Mg 3.50-3.57
Mg 0.5312 0.8584 0.8584  9 Pm 3.46-3.63, 3 Mg 3.50-3.57
Mg 0.8584 0.5312 0.8584  9 Pm 3.46-3.63, 3 Mg 3.50-3.57
Mg 0.8584 0.8584 0.5312  9 Pm 3.46-3.63, 3 Mg 3.50-3.57
N 0.0000 0.0000 0.0000  6 Pm 2.48
N 0.5000 0.5000 0.5000  6 Pm 2.45

(8)
Pm4Mg2N: optimized geometry, PBE.

Output
E (eV/atom): -4.68
N(E_F) (states/eV/f.u.): 5.67
Formation energy from raw total energies (eV/atom): -0.317

Cell lengths 5.0641, 5.0641, 15.8045 Å; angles 90.00, 90.00, 90.00 degrees
With the nearest neighbours (Å) after each atom.
Fractional positions:
Pm 0.0000 0.0000 0.1520  1 N 2.40
Pm 0.0000 0.0000 0.8480  1 N 2.40
Pm 0.0000 0.5000 0.0000  2 N 2.53
Pm 0.0000 0.5000 0.5000  2 N 2.53
Pm 0.5000 0.0000 0.0000  2 N 2.53
Pm 0.5000 0.0000 0.5000  2 N 2.53
Pm 0.5000 0.5000 0.3480  1 N 2.40
Pm 0.5000 0.5000 0.6520  1 N 2.40
Mg 0.0000 0.0000 0.3655  9 Pm 3.31-3.59
Mg 0.0000 0.0000 0.6345  9 Pm 3.31-3.59
Mg 0.5000 0.5000 0.1345  9 Pm 3.31-3.59
Mg 0.5000 0.5000 0.8655  9 Pm 3.31-3.59
N 0.0000 0.0000 0.0000  6 Pm 2.40-2.53
N 0.5000 0.5000 0.5000  6 Pm 2.40-2.53

- N(E_F) of number 1 (MgTi2PdN)?
  4.59 states/eV/f.u.